(1)
Density functional theory data (PBE-GGA) for AlAgW after structural relaxation.

```
data_AlAgW
_chemical_formula_sum 'Al1 Ag1 W1'
_symmetry_space_group_name_H-M 'P -6 m 2'
_symmetry_Int_Tables_number 187
_symmetry_space_group_name_Hall 'P -6 2'
_cell_length_a 4.4663
_cell_length_b 4.4663
_cell_length_c 2.8088
_cell_angle_alpha 90.00
_cell_angle_beta 90.00
_cell_angle_gamma 120.00
loop_
_atom_site_label
_atom_site_type_symbol
_atom_site_fract_x
_atom_site_fract_y
_atom_site_fract_z
Al1 Al 0.0000 0.0000 0.0000
Ag1 Ag 0.3333 0.6667 0.0000
W1 W 0.6667 0.3333 0.5000
```

* crystal system: hexagonal
* energy of formation from the pure elements: 405.8 meV/atom

***

(2)
Density functional theory data (PBE-GGA) for La2TiRu2 after structural relaxation.

```
data_La2TiRu2
_chemical_formula_sum 'La4 Ti2 Ru4'
_symmetry_space_group_name_H-M 'P 4/m b m'
_symmetry_Int_Tables_number 127
_symmetry_space_group_name_Hall '-P 4 2ab'
_cell_length_a 6.864
_cell_length_b 6.864
_cell_length_c 4.735
_cell_angle_alpha 90.00
_cell_angle_beta 90.00
_cell_angle_gamma 90.00
loop_
_atom_site_label
_atom_site_type_symbol
_atom_site_fract_x
_atom_site_fract_y
_atom_site_fract_z
La1 La 0.178 0.322 0.000
Ti1 Ti 0.000 0.000 0.500
Ru1 Ru 0.137 0.637 0.500
```

* crystal system: tetragonal
* energy of formation from the pure elements: -119.5 meV/atom

***

(3)
Density functional theory data (PBE-GGA) for Tc2MoP after structural relaxation.

```
data_Tc2MoP
_chemical_formula_sum 'Tc2 Mo1 P1'
_symmetry_space_group_name_H-M 'P 4/m m m'
_symmetry_Int_Tables_number 123
_symmetry_space_group_name_Hall '-P 4 2'
_cell_length_a 2.917
_cell_length_b 2.917
_cell_length_c 6.579
_cell_angle_alpha 90.00
_cell_angle_beta 90.00
_cell_angle_gamma 90.00
loop_
_atom_site_label
_atom_site_type_symbol
_atom_site_fract_x
_atom_site_fract_y
_atom_site_fract_z
Tc1 Tc 0.000 0.000 0.218
Mo1 Mo 0.500 0.500 0.500
P1 P 0.500 0.500 0.000
```

* crystal system: tetragonal
* energy of formation from the pure elements: -190.0 meV/atom

***

(4)
Density functional theory data (PBE-GGA) for Li2MgGaO4 after structural relaxation.

```
data_Li2MgGaO4
_chemical_formula_sum 'Li4 Mg2 Ga2 O8'
_symmetry_space_group_name_H-M 'I -4 2 m'
_symmetry_Int_Tables_number 121
_symmetry_space_group_name_Hall 'I -4 2'
_cell_length_a 5.452
_cell_length_b 5.452
_cell_length_c 5.720
_cell_angle_alpha 90.00
_cell_angle_beta 90.00
_cell_angle_gamma 90.00
loop_
_atom_site_label
_atom_site_type_symbol
_atom_site_fract_x
_atom_site_fract_y
_atom_site_fract_z
Li1 Li 0.000 0.500 0.250
Mg1 Mg 0.000 0.000 0.000
Ga1 Ga 0.000 0.000 0.500
O1 O 0.176 0.176 0.727
```

* crystal system: tetragonal
* formation energy (no corrections): -14.0 eV per formula unit

***

(5)
Density functional theory data (PBE-GGA) for Ba5In4 after structural relaxation.

```
data_Ba5In4
_chemical_formula_sum 'Ba10 In8'
_symmetry_space_group_name_H-M 'I 4/m m m'
_symmetry_Int_Tables_number 139
_symmetry_space_group_name_Hall '-I 4 2'
_cell_length_a 11.127
_cell_length_b 11.127
_cell_length_c 5.652
_cell_angle_alpha 90.00
_cell_angle_beta 90.00
_cell_angle_gamma 90.00
loop_
_atom_site_label
_atom_site_type_symbol
_atom_site_fract_x
_atom_site_fract_y
_atom_site_fract_z
Ba1 Ba 0.000 0.000 0.000
Ba2 Ba 0.176 0.176 0.500
In1 In 0.000 0.359 0.000
```

* crystal system: tetragonal
* energy of formation from the pure elements: -154.6 meV/atom

***

(6)
Density functional theory data (PBE-GGA) for Cs2NaTe2 after structural relaxation.

```
data_Cs2NaTe2
_chemical_formula_sum 'Cs4 Na2 Te4'
_symmetry_space_group_name_H-M 'P 4/m b m'
_symmetry_Int_Tables_number 127
_symmetry_space_group_name_Hall '-P 4 2ab'
_cell_length_a 10.996
_cell_length_b 10.996
_cell_length_c 3.825
_cell_angle_alpha 90.00
_cell_angle_beta 90.00
_cell_angle_gamma 90.00
loop_
_atom_site_label
_atom_site_type_symbol
_atom_site_fract_x
_atom_site_fract_y
_atom_site_fract_z
Cs1 Cs 0.122 0.378 0.000
Na1 Na 0.000 0.000 0.000
Te1 Te 0.177 0.677 0.500
```

* crystal system: tetragonal
* formation energy (no corrections): -3.0 eV per formula unit

***

no.,density of states at the Fermi level (states/eV/cell),final energy (eV/atom),volume (Å³ per atom)
1,2.93,-6.11,16.17
2,6.63,-7.38,22.31
3,3.03,-9.43,13.99
4,8.35,-5.28,10.62
5,17.04,-2.44,38.87
6,2.15,-2.46,46.25